Here is CaLaNi2H after structural relaxation from the Alexandria database. Energies are from PBE.

Properties
M_tot (μB per formula unit): 0.000
Calculated density (g/cm³): 3.88
DFT total energy (eV/atom): -2.999

Cell: 4.519 6.241 4.519 Å, 90.00 90.00 90.00°
Element x y z (fractional)
Ni (0.000, 0.000, 0.500)
Ni (0.500, 0.000, 0.000)
Ca (0.000, 0.000, 0.000)
H (0.500, 0.500, 0.500)
La (0.000, 0.500, 0.000)